## ZrAs2SeCl (GGA-PBEsol)

Data for crystalline ZrAs2SeCl at its relaxed geometry.

Density of states at the Fermi level   3.35 states/eV/f.u.
V   26.82 Å³/atom
Raw formation energy   66 meV per atom

Geometry as CIF:
```
data_ZrAs2SeCl
_chemical_formula_sum 'Zr1 As2 Se1 Cl1'
_symmetry_space_group_name_H-M 'P 1'
_symmetry_Int_Tables_number 1
_cell_length_a 5.0038
_cell_length_b 5.1769
_cell_length_c 5.1769
_cell_angle_alpha 90.00
_cell_angle_beta 90.00
_cell_angle_gamma 90.00
loop_
_symmetry_equiv_pos_as_xyz
'x,y,z'
loop_
_atom_site_label
_atom_site_type_symbol
_atom_site_fract_x
_atom_site_fract_y
_atom_site_fract_z
As1 As 0.0000 0.5000 0.0000
As2 As 0.0000 0.0000 0.5000
Cl1 Cl 0.5000 0.5000 0.5000
Se1 Se 0.5000 0.0000 0.0000
Zr1 Zr 0.0000 0.0000 0.0000
```



## SiAsCl2 (GGA-PBEsol)

Data for crystalline SiAsCl2 at its relaxed geometry.

Energy above the lowest structure with this stoichiometry   0.178 eV per atom
Density of states at the Fermi level   1.56 states/eV/f.u.
V   24.46 Å³/atom
Raw formation energy   -253 meV per atom

Geometry as CIF:
```
data_SiAsCl2
_chemical_formula_sum 'Si1 As1 Cl2'
_symmetry_space_group_name_H-M 'P 1'
_symmetry_Int_Tables_number 1
_cell_length_a 3.7318
_cell_length_b 5.4206
_cell_length_c 5.2888
_cell_angle_alpha 102.23
_cell_angle_beta 90.00
_cell_angle_gamma 110.13
loop_
_symmetry_equiv_pos_as_xyz
'x,y,z'
loop_
_atom_site_label
_atom_site_type_symbol
_atom_site_fract_x
_atom_site_fract_y
_atom_site_fract_z
As1 As 0.8415 0.6830 0.2393
Si1 Si 0.4105 0.8210 0.5322
Cl1 Cl 0.2330 0.4660 0.6803
Cl2 Cl 0.0150 0.0299 0.0482
```



## SiAsCl2 (GGA-PBEsol)

Data for crystalline SiAsCl2 at its relaxed geometry.

Energy above the lowest structure with this stoichiometry   0.000 eV per atom
Density of states at the Fermi level   0.56 states/eV/f.u.
V   24.56 Å³/atom
Raw formation energy   -431 meV per atom

Geometry as CIF:
```
data_SiAsCl2
_chemical_formula_sum 'Si1 As1 Cl2'
_symmetry_space_group_name_H-M 'P 1'
_symmetry_Int_Tables_number 1
_cell_length_a 3.6348
_cell_length_b 3.6348
_cell_length_c 7.4368
_cell_angle_alpha 90.00
_cell_angle_beta 90.00
_cell_angle_gamma 90.00
loop_
_symmetry_equiv_pos_as_xyz
'x,y,z'
loop_
_atom_site_label
_atom_site_type_symbol
_atom_site_fract_x
_atom_site_fract_y
_atom_site_fract_z
Cl1 Cl 0.0000 0.0000 0.9319
Cl2 Cl 0.5000 0.5000 0.3111
As1 As 0.5000 0.5000 0.6046
Si1 Si 0.0000 0.0000 0.6523
```



## SiAsCl2 (GGA-PBEsol)

Data for crystalline SiAsCl2 at its relaxed geometry.

Energy above the lowest structure with this stoichiometry   0.494 eV per atom
Density of states at the Fermi level   1.43 states/eV/f.u.
V   21.22 Å³/atom
Raw formation energy   62 meV per atom

Geometry as CIF:
```
data_SiAsCl2
_chemical_formula_sum 'Si1 As1 Cl2'
_symmetry_space_group_name_H-M 'P 1'
_symmetry_Int_Tables_number 1
_cell_length_a 3.1565
_cell_length_b 4.3109
_cell_length_c 6.7853
_cell_angle_alpha 108.52
_cell_angle_beta 103.45
_cell_angle_gamma 90.00
loop_
_symmetry_equiv_pos_as_xyz
'x,y,z'
loop_
_atom_site_label
_atom_site_type_symbol
_atom_site_fract_x
_atom_site_fract_y
_atom_site_fract_z
As1 As 0.2137 0.7137 0.4273
Cl1 Cl 0.9966 0.9966 0.9932
Cl2 Cl 0.7471 0.2471 0.4943
Si1 Si 0.5425 0.5425 0.0850
```



## Sn3AsCl (GGA-PBEsol)

Data for crystalline Sn3AsCl at its relaxed geometry.

Density of states at the Fermi level   3.26 states/eV/f.u.
V   29.22 Å³/atom
Raw formation energy   579 meV per atom

Geometry as CIF:
```
data_Sn3AsCl
_chemical_formula_sum 'Sn3 As1 Cl1'
_symmetry_space_group_name_H-M 'P 1'
_symmetry_Int_Tables_number 1
_cell_length_a 5.2669
_cell_length_b 5.2669
_cell_length_c 5.2669
_cell_angle_alpha 90.00
_cell_angle_beta 90.00
_cell_angle_gamma 90.00
loop_
_symmetry_equiv_pos_as_xyz
'x,y,z'
loop_
_atom_site_label
_atom_site_type_symbol
_atom_site_fract_x
_atom_site_fract_y
_atom_site_fract_z
As1 As 0.5000 0.5000 0.5000
Cl1 Cl 0.0000 0.0000 0.0000
Sn1 Sn 0.0000 0.0000 0.5000
Sn2 Sn 0.0000 0.5000 0.0000
Sn3 Sn 0.5000 0.0000 0.0000
```



## SrAs2Cl (GGA-PBEsol)

Data for crystalline SrAs2Cl at its relaxed geometry.

Energy above the lowest structure with this stoichiometry   0.000 eV per atom
Density of states at the Fermi level   1.03 states/eV/f.u.
V   25.36 Å³/atom
Raw formation energy   -1026 meV per atom

Geometry as CIF:
```
data_SrAs2Cl
_chemical_formula_sum 'Sr1 As2 Cl1'
_symmetry_space_group_name_H-M 'P 1'
_symmetry_Int_Tables_number 1
_cell_length_a 3.7793
_cell_length_b 4.1121
_cell_length_c 6.6047
_cell_angle_alpha 98.83
_cell_angle_beta 90.00
_cell_angle_gamma 90.00
loop_
_symmetry_equiv_pos_as_xyz
'x,y,z'
loop_
_atom_site_label
_atom_site_type_symbol
_atom_site_fract_x
_atom_site_fract_y
_atom_site_fract_z
As1 As 0.5000 0.7513 0.1329
As2 As 0.0000 0.1204 0.0884
Cl1 Cl 0.0000 0.5505 0.5824
Sr1 Sr 0.5000 0.0779 0.6963
```



## SrAs2Cl (GGA-PBEsol)

Data for crystalline SrAs2Cl at its relaxed geometry.

Energy above the lowest structure with this stoichiometry   0.111 eV per atom
Density of states at the Fermi level   1.02 states/eV/f.u.
V   24.52 Å³/atom
Raw formation energy   -915 meV per atom

Geometry as CIF:
```
data_SrAs2Cl
_chemical_formula_sum 'Sr1 As2 Cl1'
_symmetry_space_group_name_H-M 'P 1'
_symmetry_Int_Tables_number 1
_cell_length_a 3.8485
_cell_length_b 5.5580
_cell_length_c 5.5580
_cell_angle_alpha 64.75
_cell_angle_beta 69.74
_cell_angle_gamma 69.74
loop_
_symmetry_equiv_pos_as_xyz
'x,y,z'
loop_
_atom_site_label
_atom_site_type_symbol
_atom_site_fract_x
_atom_site_fract_y
_atom_site_fract_z
Sr1 Sr 0.7609 0.7391 0.7391
Cl1 Cl 0.5075 0.4925 0.4925
As1 As 0.9547 0.0453 0.0453
As2 As 0.2769 0.2231 0.2231
```



## SrAs2Cl (GGA-PBEsol)

Data for crystalline SrAs2Cl at its relaxed geometry.

Energy above the lowest structure with this stoichiometry   0.085 eV per atom
Density of states at the Fermi level   1.69 states/eV/f.u.
V   23.43 Å³/atom
Raw formation energy   -941 meV per atom

Geometry as CIF:
```
data_SrAs2Cl
_chemical_formula_sum 'Sr1 As2 Cl1'
_symmetry_space_group_name_H-M 'P 1'
_symmetry_Int_Tables_number 1
_cell_length_a 3.9147
_cell_length_b 3.9147
_cell_length_c 6.1162
_cell_angle_alpha 90.00
_cell_angle_beta 90.00
_cell_angle_gamma 90.00
loop_
_symmetry_equiv_pos_as_xyz
'x,y,z'
loop_
_atom_site_label
_atom_site_type_symbol
_atom_site_fract_x
_atom_site_fract_y
_atom_site_fract_z
Sr1 Sr 0.0000 0.0000 0.5000
As1 As 0.0000 0.5000 0.0000
As2 As 0.5000 0.0000 0.0000
Cl1 Cl 0.5000 0.5000 0.5000
```